[1]
A relaxed structure of Y4CoNiC2. Source: OQMD via LeMat-Bulk, functional PBE-GGA.

Cell lengths 3.5824, 3.5824, 13.5804 Å; angles 90.00, 90.00, 120.00 degrees
Each line ends with the local moment (μB).
Atoms (fractional coordinates):
1 Co 0.6667 0.3333 0.5000  1.30
2 Ni 0.0000 0.0000 0.0000  0.09
3 Y 0.6667 0.3333 0.1492  -0.02
4 Y 0.0000 0.0000 0.6493  -0.09
5 Y 0.6667 0.3333 0.8508  -0.02
6 C 0.3333 0.6667 0.7512  0.02
7 C 0.3333 0.6667 0.2488  0.02
8 Y 0.0000 0.0000 0.3507  -0.09

The value obtained for the total energy is -0.264 Ha/atom. Its size of the total moment is 1.06 Bohr magnetons per cell. The density comes out at 5.47 g/cm³.



[2]
A relaxed structure of Y3Pt. Source: OQMD via LeMat-Bulk, functional PBE-GGA.

Cell lengths 7.0679, 9.5911, 6.4983 Å; angles 90.00, 90.00, 90.00 degrees
Atoms (fractional coordinates):
1 Y 0.4735 0.7500 0.1306
2 Y 0.8193 0.9393 0.8206
3 Pt 0.3895 0.2500 0.4509
4 Y 0.6807 0.0607 0.3206
5 Y 0.6807 0.4393 0.3206
6 Y 0.5265 0.2500 0.8694
7 Y 0.9735 0.7500 0.3694
8 Y 0.8193 0.5607 0.8206
9 Y 0.1807 0.4393 0.1794
10 Y 0.3193 0.5607 0.6794
11 Y 0.0265 0.2500 0.6306
12 Y 0.3193 0.9393 0.6794
13 Y 0.1807 0.0607 0.1794
14 Pt 0.6105 0.7500 0.5491
15 Pt 0.1105 0.7500 0.9509
16 Pt 0.8895 0.2500 0.0491

The value obtained for the total energy is -0.260 Ha/atom. Its size of the total moment is 0.02 Bohr magnetons per cell. The density comes out at 6.96 g/cm³. The energy relative to the elements is -0.71 eV per atom.



Copy entry 2 word for word.
A relaxed structure of Y3Pt. Source: OQMD via LeMat-Bulk, functional PBE-GGA.

Cell lengths 7.0679, 9.5911, 6.4983 Å; angles 90.00, 90.00, 90.00 degrees
Atoms (fractional coordinates):
1 Y 0.4735 0.7500 0.1306
2 Y 0.8193 0.9393 0.8206
3 Pt 0.3895 0.2500 0.4509
4 Y 0.6807 0.0607 0.3206
5 Y 0.6807 0.4393 0.3206
6 Y 0.5265 0.2500 0.8694
7 Y 0.9735 0.7500 0.3694
8 Y 0.8193 0.5607 0.8206
9 Y 0.1807 0.4393 0.1794
10 Y 0.3193 0.5607 0.6794
11 Y 0.0265 0.2500 0.6306
12 Y 0.3193 0.9393 0.6794
13 Y 0.1807 0.0607 0.1794
14 Pt 0.6105 0.7500 0.5491
15 Pt 0.1105 0.7500 0.9509
16 Pt 0.8895 0.2500 0.0491

The value obtained for the total energy is -0.260 Ha/atom. Its size of the total moment is 0.02 Bohr magnetons per cell. The density comes out at 6.96 g/cm³. The energy relative to the elements is -0.71 eV per atom.



- The lowest density belongs to which entry?
  Y4CoNiC2